No. 1
The following is a DFT calculation (PBE) of crystalline HfMo2Os at its relaxed geometry.

Properties
- energy (eV/atom) = -10.913
- E_form (eV per atom) = -0.19

Cell: 6.398 6.398 6.398 Å, 90.00 90.00 90.00°
Space group F-43m (No. 216)
One atom of each set of equivalent atoms:
Hf 0.000 0.000 0.000
Mo 0.000 0.000 0.500
Mo 0.250 0.250 0.250
Os 0.250 0.250 0.750

No. 2
The following is a DFT calculation (PBE) of crystalline HfMoOs at its relaxed geometry.

Properties
- energy (eV/atom) = -9.654
- E_form (eV per atom) = 1.02
- E above lowest polymorph (meV/atom) = 864

Cell: 6.194 6.194 6.194 Å, 90.00 90.00 90.00°
Space group F-43m (No. 216)
One atom of each set of equivalent atoms:
Hf 0.000 0.000 0.000
Mo 0.250 0.250 0.750
Os 0.250 0.250 0.250

No. 3
The following is a DFT calculation (PBE) of crystalline HfMoOs at its relaxed geometry.

Properties
- energy (eV/atom) = -10.518
- E_form (eV per atom) = 0.16
- E above lowest polymorph (meV/atom) = 0

Cell: 6.190 6.190 6.190 Å, 90.00 90.00 90.00°
Space group F-43m (No. 216)
One atom of each set of equivalent atoms:
Hf 0.000 0.000 0.000
Mo 0.000 0.000 0.500
Os 0.250 0.250 0.250

No. 4
The following is a DFT calculation (PBE) of crystalline Hf2MoOs at its relaxed geometry.

Properties
- energy (eV/atom) = -10.588
- E_form (eV per atom) = -0.09

Cell: 6.527 6.527 6.527 Å, 90.00 90.00 90.00°
Space group F-43m (No. 216)
One atom of each set of equivalent atoms:
Hf 0.000 0.000 0.000
Hf 0.250 0.250 0.250
Mo 0.250 0.250 0.750
Os 0.000 0.000 0.500

| no. | mass density (Mg/m³) |
| --- | --- |
| 1 | 14.22 |
| 2 | 12.98 |
| 3 | 13.01 |
| 4 | 15.36 |